Below is an optimized crystal structure of BaBrO3, with properties calculated at the PBE level.

a b c (Å): 4.1705 4.1705 4.1705
angles (deg): 90.00 90.00 90.00
Last column: nearest neighbours and their distance in Å.
Element x y z (fractional)
Ba  0.0000  0.0000  0.0000  12 O 2.95
Br  0.5000  0.5000  0.5000  6 O 2.09
O  0.0000  0.5000  0.5000  2 Br 2.09
O  0.5000  0.0000  0.5000  2 Br 2.09
O  0.5000  0.5000  0.0000  2 Br 2.09

Output
- Uncorrected formation energy: -885 meV/atom
- Density of states at the Fermi level: 1.26 states/eV per cell
- Crystal system: cubic
- Calculated volume: 14.51 Å³ per atom

Below is an optimized crystal structure of Mg2ZrBe, with properties calculated at the PBE level.

a b c (Å): 3.0462 3.0462 7.9385
angles (deg): 90.00 90.00 90.00
Last column: nearest neighbours and their distance in Å.
Element x y z (fractional)
Mg  0.0000  0.0000  0.2017  4 Be 2.68
Mg  0.0000  0.0000  0.7983  4 Be 2.68
Zr  0.5000  0.5000  0.5000  4 Zr 3.05, 8 Mg 3.20
Be  0.5000  0.5000  0.0000  8 Mg 2.68

Output
- Density of states at the Fermi level: 2.36 states/eV per cell
- Crystal system: tetragonal
- Calculated volume: 18.42 Å³ per atom
- Total DFT energy (no corrections): -14.767 eV per cell

Below is an optimized crystal structure of CaHfO2, with properties calculated at the PBE level.

a b c (Å): 6.3049 6.3049 6.3049
angles (deg): 131.62 131.62 70.84
Last column: nearest neighbours and their distance in Å.
Element x y z (fractional)
Ca  0.0000  0.0000  0.0000  4 O 2.42
Ca  0.7500  0.2500  0.5000  4 O 2.42
Hf  0.2500  0.7500  0.5000  4 O 2.07
Hf  0.5000  0.5000  0.0000  4 O 2.07
O  0.1845  0.6250  0.0595  2 Hf 2.07
O  0.3750  0.4345  0.5595  2 Hf 2.07
O  0.5655  0.1250  0.9405  2 Hf 2.07
O  0.8750  0.8155  0.4405  2 Hf 2.07

Output
- Uncorrected formation energy: -2426 meV/atom
- Density of states at the Fermi level: 3.96 states/eV per cell
- Crystal system: tetragonal
- Calculated volume: 17.15 Å³ per atom

Below is an optimized crystal structure of HfTaAu2, with properties calculated at the PBE level.

a b c (Å): 6.0465 6.0465 6.0465
angles (deg): 102.48 102.48 124.59
Last column: nearest neighbours and their distance in Å.
Element x y z (fractional)
Hf  0.0000  0.0000  0.0000  2 Ta 2.81, 4 Au 2.83
Hf  0.7500  0.2500  0.5000  2 Ta 2.81, 4 Au 2.83
Ta  0.2500  0.7500  0.5000  4 Au 2.71, 2 Hf 2.81
Ta  0.5000  0.5000  0.0000  4 Au 2.71, 2 Hf 2.81
Au  0.1368  0.1250  0.5118  2 Ta 2.71, 2 Au 2.82, 2 Hf 2.83
Au  0.3750  0.8632  0.9882  2 Ta 2.71, 2 Au 2.82, 2 Hf 2.83
Au  0.6132  0.6250  0.4882  2 Ta 2.71, 2 Au 2.82, 2 Hf 2.83
Au  0.8750  0.3868  0.0118  2 Ta 2.71, 2 Au 2.82, 2 Hf 2.83

Output
- Density of states at the Fermi level: 9.31 states/eV per cell
- Crystal system: tetragonal
- Calculated volume: 20.14 Å³ per atom
- Total DFT energy (no corrections): -54.903 eV per cell

Below is an optimized crystal structure of KPb2Au, with properties calculated at the PBE level.

a b c (Å): 11.4307 11.4307 11.4307
angles (deg): 154.92 154.92 35.76
Last column: nearest neighbours and their distance in Å.
Element x y z (fractional)
K  0.0000  0.0000  0.0000  4 Pb 3.39, 4 Au 3.51
K  0.7500  0.2500  0.5000  4 Pb 3.39, 4 Au 3.51
Pb  0.1958  0.6250  0.0708  2 Pb 3.05, 2 Au 3.12, 2 K 3.39
Pb  0.3750  0.4458  0.5708  2 Pb 3.05, 2 Au 3.12, 2 K 3.39
Pb  0.5542  0.1250  0.9292  2 Pb 3.05, 2 Au 3.12, 2 K 3.39
Pb  0.8750  0.8042  0.4292  2 Pb 3.05, 2 Au 3.12, 2 K 3.39
Au  0.2500  0.7500  0.5000  4 Pb 3.12
Au  0.5000  0.5000  0.0000  4 Pb 3.12

Output
- Density of states at the Fermi level: 4.48 states/eV per cell
- Crystal system: tetragonal
- Calculated volume: 33.50 Å³ per atom
- Total DFT energy (no corrections): -23.408 eV per cell

Below is an optimized crystal structure of Be3Pt, with properties calculated at the PBE level.

a b c (Å): 2.7680 2.7680 6.6792
angles (deg): 90.00 90.00 120.00
Last column: nearest neighbours and their distance in Å.
Element x y z (fractional)
Be  0.0000  0.0000  0.0000  6 Be 2.26
Be  0.6667  0.3333  0.2394  3 Be 2.26, 3 Pt 2.36
Be  0.6667  0.3333  0.7606  3 Be 2.26, 3 Pt 2.36
Pt  0.0000  0.0000  0.5000  6 Be 2.36

Output
- Density of states at the Fermi level: 1.58 states/eV per cell
- Crystal system: hexagonal
- Calculated volume: 11.08 Å³ per atom
- Total DFT energy (no corrections): -17.332 eV per cell

Below is an optimized crystal structure of UNi2Rh, with properties calculated at the PBE level.

a b c (Å): 4.2612 4.2612 4.7136
angles (deg): 90.00 90.00 120.00
Last column: nearest neighbours and their distance in Å.
Element x y z (fractional)
U  0.0000  0.0000  0.0000  2 Ni 2.36
Ni  0.0000  0.0000  0.5000  2 U 2.36, 3 Ni 2.46, 3 Rh 2.46
Ni  0.3333  0.6667  0.5000  3 Ni 2.46, 3 Rh 2.46
Rh  0.6667  0.3333  0.5000  6 Ni 2.46

Output
- Density of states at the Fermi level: 7.60 states/eV per cell
- Crystal system: hexagonal
- Calculated volume: 18.53 Å³ per atom
- Total DFT energy (no corrections): -29.273 eV per cell

Below is an optimized crystal structure of Sc2TaCl, with properties calculated at the PBE level.

a b c (Å): 3.1385 3.1385 8.4324
angles (deg): 90.00 90.00 101.75
Last column: nearest neighbours and their distance in Å.
Element x y z (fractional)
Sc  0.0000  0.0000  0.2474  4 Ta 2.88-3.21, 2 Cl 2.91, 4 Sc 3.14
Sc  0.0000  0.0000  0.7526  4 Ta 2.88-3.21, 2 Cl 2.91, 4 Sc 3.14
Ta  0.5000  0.5000  0.0000  8 Sc 2.88-3.21, 4 Ta 3.14
Cl  0.5000  0.5000  0.5000  8 Sc 2.91-3.23, 4 Cl 3.14

Output
- Uncorrected formation energy: -442 meV/atom
- Density of states at the Fermi level: 3.84 states/eV per cell
- Crystal system: orthorhombic
- Calculated volume: 20.33 Å³ per atom

Below is an optimized crystal structure of TeRh3N, with properties calculated at the PBE level.

a b c (Å): 4.8896 4.8896 4.8896
angles (deg): 90.00 90.00 90.00
Last column: nearest neighbours and their distance in Å.
Element x y z (fractional)
Te  0.0000  0.0000  0.0000  6 Rh 2.44
Rh  0.0000  0.0000  0.5000  2 Te 2.44
Rh  0.0000  0.5000  0.0000  2 Te 2.44
Rh  0.5000  0.0000  0.0000  2 Te 2.44
N  0.5000  0.5000  0.5000  12 Rh 3.46

Output
- Uncorrected formation energy: 2012 meV/atom
- Density of states at the Fermi level: 6.64 states/eV per cell
- Crystal system: cubic
- Calculated volume: 23.38 Å³ per atom

Below is an optimized crystal structure of La3TlRu, with properties calculated at the PBE level.

a b c (Å): 5.0730 7.2918 8.3902
angles (deg): 90.00 90.00 90.00
Last column: nearest neighbours and their distance in Å.
Element x y z (fractional)
La  0.2500  0.0007  0.1549  3 Ru 2.88-3.14
La  0.2500  0.4993  0.1549  3 Ru 2.88-3.14
La  0.2500  0.7500  0.5785  1 Ru 2.61
La  0.7500  0.2500  0.4215  1 Ru 2.61
La  0.7500  0.5007  0.8451  3 Ru 2.88-3.14
La  0.7500  0.9993  0.8451  3 Ru 2.88-3.14
Tl  0.2500  0.2500  0.6778  6 La 3.33-3.43
Tl  0.7500  0.7500  0.3222  6 La 3.33-3.43
Ru  0.2500  0.7500  0.8900  3 La 2.61-2.88
Ru  0.7500  0.2500  0.1100  3 La 2.61-2.88

Output
- Density of states at the Fermi level: 3.78 states/eV per cell
- Crystal system: orthorhombic
- Calculated volume: 31.04 Å³ per atom
- Total DFT energy (no corrections): -55.829 eV per cell

Below is an optimized crystal structure of LiTmLuCd, with properties calculated at the PBE level.

a b c (Å): 5.1766 5.1766 5.1766
angles (deg): 60.00 60.00 60.00
Last column: nearest neighbours and their distance in Å.
Element x y z (fractional)
Li  0.0000  0.0000  0.0000  4 Tm 3.17, 4 Lu 3.17
Tm  0.2500  0.2500  0.2500  4 Cd 3.17, 4 Li 3.17
Lu  0.7500  0.7500  0.7500  4 Cd 3.17, 4 Li 3.17
Cd  0.5000  0.5000  0.5000  4 Tm 3.17, 4 Lu 3.17

Output
- Density of states at the Fermi level: 4.64 states/eV per cell
- Crystal system: cubic
- Calculated volume: 24.52 Å³ per atom
- Total DFT energy (no corrections): -12.250 eV per cell

Below is an optimized crystal structure of KAc2TlSe4, with properties calculated at the PBE level.

a b c (Å): 7.5932 7.5932 17.9718
angles (deg): 90.00 90.00 145.08
Last column: nearest neighbours and their distance in Å.
Element x y z (fractional)
K  0.0857  0.9143  0.7500  2 Se 3.30, 2 Tl 3.67
K  0.9143  0.0857  0.2500  2 Se 3.30, 2 Tl 3.67
Ac  0.3673  0.6327  0.5646  6 Se 3.06-3.42
Ac  0.3673  0.6327  0.9354  6 Se 3.06-3.42
Ac  0.6327  0.3673  0.0646  6 Se 3.06-3.42
Ac  0.6327  0.3673  0.4354  6 Se 3.06-3.42
Tl  0.2159  0.7841  0.2500  4 Se 3.02-3.04
Tl  0.7841  0.2159  0.7500  4 Se 3.02-3.04
Se  0.0000  0.0000  0.0000  4 Ac 3.20
Se  0.0000  0.0000  0.5000  4 Ac 3.20
Se  0.2714  0.7286  0.0868  1 Tl 3.04, 3 Ac 3.06
Se  0.2714  0.7286  0.4132  1 Tl 3.04, 3 Ac 3.06
Se  0.4210  0.5790  0.7500  2 Tl 3.02, 2 K 3.30
Se  0.5790  0.4210  0.2500  2 Tl 3.02, 2 K 3.30
Se  0.7286  0.2714  0.5868  1 Tl 3.04, 3 Ac 3.06
Se  0.7286  0.2714  0.9132  1 Tl 3.04, 3 Ac 3.06

Output
- Uncorrected formation energy: -1468 meV/atom
- Crystal system: orthorhombic
- Calculated volume: 37.07 Å³ per atom

- What is the calculated volume in the ninth record?
  23.38 Å³ per atom